Arrangement P

The following is a DFT calculation (PBE-GGA) of a relaxed structure of Ta2BePb.

Results
D(E_F)   3.7 states/eV per cell
Total moment   0.000 μB/f.u.
Space group   No. 65
Mass density   13.3 Mg/m³

a = 5.6737 Å, b = 8.6809 Å, c = 2.9346 Å
α = 90.00°, β = 90.00°, γ = 90.00°
Positions (direct):
1 Ta 0.2500 0.2500 0.0000
2 Ta 0.2500 0.7500 0.0000
3 Ta 0.7500 0.2500 0.0000
4 Ta 0.7500 0.7500 0.0000
5 Be 0.0000 0.0000 0.5000
6 Be 0.5000 0.5000 0.5000
7 Pb 0.0000 0.5000 0.5000
8 Pb 0.5000 0.0000 0.5000



Arrangement Q

The following is a DFT calculation (PBE-GGA) of a relaxed structure of Ta2BePb.

Results
D(E_F)   2.4 states/eV per cell
Total moment   0.000 μB/f.u.
Space group   No. 35
Mass density   13.4 Mg/m³

a = 3.7999 Å, b = 4.9432 Å, c = 7.6360 Å
α = 90.00°, β = 90.00°, γ = 90.00°
Positions (direct):
1 Ta 0.0000 0.0000 0.0000
2 Ta 0.0000 0.5000 0.2719
3 Ta 0.5000 0.0000 0.2719
4 Ta 0.5000 0.5000 0.0000
5 Be 0.0000 0.5000 0.8062
6 Be 0.5000 0.0000 0.8062
7 Pb 0.0000 0.0000 0.5704
8 Pb 0.5000 0.5000 0.5704



Which of them is the most stable? Correct choice: arrangement Q.



Arrangement P

The following is a DFT calculation (PBE-GGA) of a relaxed structure of Ta2BePb.

Results
D(E_F)   1.9 states/eV per cell
Total moment   0.000 μB/f.u.
Space group   No. 10
Mass density   13.4 Mg/m³

a = 3.0241 Å, b = 3.8896 Å, c = 6.1523 Å
α = 90.00°, β = 98.17°, γ = 90.00°
Positions (direct):
1 Ta 0.0632 0.0000 0.2919
2 Ta 0.9368 0.0000 0.7081
3 Be 0.5000 0.5000 0.5000
4 Pb 0.5000 0.5000 0.0000



Arrangement Q

The following is a DFT calculation (PBE-GGA) of a relaxed structure of Ta2BePb.

Results
D(E_F)   1.4 states/eV per cell
Total moment   0.000 μB/f.u.
Space group   No. 123
Mass density   13.5 Mg/m³

a = 2.9973 Å, b = 2.9973 Å, c = 7.8894 Å
α = 90.00°, β = 90.00°, γ = 90.00°
Positions (direct):
1 Ta 0.0000 0.0000 0.1957
2 Ta 0.0000 0.0000 0.8043
3 Be 0.5000 0.5000 0.0000
4 Pb 0.5000 0.5000 0.5000



Which of them is the most stable? Correct choice: arrangement Q.